The following is a DFT calculation (PBE) of crystalline Hf2Mn2Zn15 at its relaxed geometry.

Cell: 6.6554 6.6554 6.6554 Å, 82.56 82.56 82.56°
Last column: nearest neighbours and their distance in Å.
Sites, in units of the cell vectors:
1 Hf 0.3273 0.3273 0.3273  1 Mn 2.92, 12 Zn 3.13-3.16
2 Hf 0.6727 0.6727 0.6727  1 Mn 2.92, 12 Zn 3.13-3.16
3 Mn 0.1015 0.1015 0.1015  1 Mn 2.63, 12 Zn 2.67-2.87, 1 Hf 2.92
4 Mn 0.8985 0.8985 0.8985  1 Mn 2.63, 12 Zn 2.67-2.87, 1 Hf 2.92
5 Zn 0.5000 0.0000 0.0000  8 Zn 2.53-2.59, 2 Mn 2.67
6 Zn 0.0000 0.0000 0.5000  8 Zn 2.53-2.59, 2 Mn 2.67
7 Zn 0.0000 0.5000 0.0000  8 Zn 2.53-2.59, 2 Mn 2.67
8 Zn 0.0000 0.7090 0.2910  8 Zn 2.53-2.79
9 Zn 0.7090 0.2910 0.0000  8 Zn 2.53-2.79
10 Zn 0.2910 0.0000 0.7090  8 Zn 2.53-2.79
11 Zn 0.2910 0.7090 0.0000  8 Zn 2.53-2.79
12 Zn 0.7090 0.0000 0.2910  8 Zn 2.53-2.79
13 Zn 0.0000 0.2910 0.7090  8 Zn 2.53-2.79
14 Zn 0.1543 0.6392 0.6392  8 Zn 2.53-2.79
15 Zn 0.6392 0.6392 0.1543  8 Zn 2.53-2.79
16 Zn 0.6392 0.1543 0.6392  8 Zn 2.53-2.79
17 Zn 0.8457 0.3608 0.3608  8 Zn 2.53-2.79
18 Zn 0.3608 0.3608 0.8457  8 Zn 2.53-2.79
19 Zn 0.3608 0.8457 0.3608  8 Zn 2.53-2.79

Computed properties:
ΔH_f (0 K): -0.02 eV per atom
DOS(E_F): 0.48 states/eV per atom
Space group: R-3m (166)
ρ: 8.4 g/cm³
Final energy: -3.04 eV/atom

***

The following is a DFT calculation (PBE) of crystalline MnFe2Rh at its relaxed geometry.

Cell: 4.8624 4.8624 4.8624 Å, 144.99 129.11 63.26°
Last column: nearest neighbours and their distance in Å.
Sites, in units of the cell vectors:
1 Fe 0.9945 0.9945 0.0000  2 Fe 2.48, 4 Mn 2.55, 2 Rh 2.57
2 Fe 0.7532 0.2532 0.5000  2 Fe 2.48, 2 Mn 2.54, 4 Rh 2.55
3 Mn 0.5030 0.5030 0.0000  6 Fe 2.54-2.55, 2 Rh 2.56
4 Rh 0.2493 0.7493 0.5000  6 Fe 2.55-2.57, 2 Mn 2.56

Computed properties:
ΔH_f (0 K): 0.06 eV per atom
DOS(E_F): 1.03 states/eV per atom
Space group: Imm2 (44)
ρ: 8.8 g/cm³
Final energy: -8.31 eV/atom

***

The following is a DFT calculation (PBE) of crystalline TaTi2Fe5B2 at its relaxed geometry.

Cell: 2.9228 8.7301 8.7301 Å, 90.00 90.00 90.00°
Last column: nearest neighbours and their distance in Å.
Sites, in units of the cell vectors:
1 Ta 0.0000 0.0000 0.0000  8 Fe 2.50
2 Ta 0.0000 0.5000 0.5000  8 Fe 2.50
3 Ti 0.0000 0.6742 0.1742  3 B 2.54-2.61, 10 Fe 2.60-2.74
4 Ti 0.0000 0.3258 0.8258  3 B 2.54-2.61, 10 Fe 2.60-2.74
5 Ti 0.0000 0.1742 0.3258  3 B 2.54-2.61, 10 Fe 2.60-2.74
6 Ti 0.0000 0.8258 0.6742  3 B 2.54-2.61, 10 Fe 2.60-2.74
7 Fe 0.5000 0.2221 0.0701  2 B 2.05
8 Fe 0.5000 0.7779 0.9299  2 B 2.05
9 Fe 0.5000 0.0701 0.7779  2 B 2.05
10 Fe 0.5000 0.7221 0.4299  2 B 2.05
11 Fe 0.5000 0.9299 0.2221  2 B 2.05
12 Fe 0.5000 0.2779 0.5701  2 B 2.05
13 Fe 0.5000 0.5701 0.7221  2 B 2.05
14 Fe 0.5000 0.4299 0.2779  2 B 2.05
15 Fe 0.5000 0.5000 0.0000  4 B 2.08
16 Fe 0.5000 0.0000 0.5000  4 B 2.08
17 B 0.0000 0.1202 0.6202  6 Fe 2.05-2.08
18 B 0.0000 0.8798 0.3798  6 Fe 2.05-2.08
19 B 0.0000 0.6202 0.8798  6 Fe 2.05-2.08
20 B 0.0000 0.3798 0.1202  6 Fe 2.05-2.08

Computed properties:
ΔH_f (0 K): -0.46 eV per atom
DOS(E_F): 0.77 states/eV per atom
Space group: P4/mbm (127)
ρ: 8.6 g/cm³
Final energy: -8.79 eV/atom

***

The following is a DFT calculation (PBE) of crystalline NiBi at its relaxed geometry.

Cell: 5.9031 5.9031 5.9031 Å, 90.00 90.00 90.00°
Last column: nearest neighbours and their distance in Å.
Sites, in units of the cell vectors:
1 Ni 0.2500 0.2500 0.2500  4 Bi 2.56
2 Ni 0.2500 0.7500 0.7500  4 Bi 2.56
3 Ni 0.7500 0.2500 0.7500  4 Bi 2.56
4 Ni 0.7500 0.7500 0.2500  4 Bi 2.56
5 Bi 0.0000 0.0000 0.0000  4 Ni 2.56
6 Bi 0.0000 0.5000 0.5000  4 Ni 2.56
7 Bi 0.5000 0.0000 0.5000  4 Ni 2.56
8 Bi 0.5000 0.5000 0.0000  4 Ni 2.56

Computed properties:
ΔH_f (0 K): 0.42 eV per atom
DOS(E_F): 0.60 states/eV per atom
Space group: F-43m (216)
ρ: 8.6 g/cm³
Final energy: -4.41 eV/atom

***

The following is a DFT calculation (PBE) of crystalline HfInSnPb2 at its relaxed geometry.

Cell: 5.5765 5.5516 5.5765 Å, 90.00 90.00 90.00°
Last column: nearest neighbours and their distance in Å.
Sites, in units of the cell vectors:
1 Pb 0.0000 0.0000 0.5000  2 In 2.79
2 Pb 0.5000 0.0000 0.0000  2 In 2.79
3 Hf 0.0000 0.5000 0.0000  2 In 2.78
4 Sn 0.5000 0.5000 0.5000  8 Pb 3.93, 4 Hf 3.94
5 In 0.0000 0.0000 0.0000  2 Hf 2.78, 4 Pb 2.79

Computed properties:
ΔH_f (0 K): 0.89 eV per atom
DOS(E_F): 1.15 states/eV per atom
Space group: P4/mmm (123)
Energy relative to the lowest polymorph listed for this composition: 1.91 eV/f.u.
ρ: 7.9 g/cm³
Final energy: -3.93 eV/atom

***

The following is a DFT calculation (PBE) of crystalline ZnSn5Rh3 at its relaxed geometry.

Cell: 7.3219 7.3219 9.6910 Å, 65.05 65.05 77.46°
Last column: nearest neighbours and their distance in Å.
Sites, in units of the cell vectors:
1 Zn 0.0842 0.0842 0.6935  3 Rh 2.53-2.58
2 Zn 0.9158 0.9158 0.3065  3 Rh 2.53-2.58
3 Sn 0.9515 0.3893 0.3513  3 Rh 2.60-2.66
4 Sn 0.2809 0.7191 0.0000  3 Rh 2.57-2.64
5 Sn 0.7721 0.7721 0.9988  3 Rh 2.59-2.61
6 Sn 0.4363 0.4363 0.3680  3 Rh 2.65-2.68
7 Sn 0.5637 0.5637 0.6320  3 Rh 2.65-2.68
8 Sn 0.2279 0.2279 0.0012  3 Rh 2.59-2.61
9 Sn 0.3893 0.9515 0.3513  3 Rh 2.60-2.66
10 Sn 0.7191 0.2809 0.0000  3 Rh 2.57-2.64
11 Sn 0.0485 0.6107 0.6487  3 Rh 2.60-2.66
12 Sn 0.6107 0.0485 0.6487  3 Rh 2.60-2.66
13 Rh 0.6624 0.6624 0.8243  6 Sn 2.59-2.66
14 Rh 0.6931 0.6931 0.3051  1 Zn 2.55, 5 Sn 2.59-2.68
15 Rh 0.0000 0.0000 0.0000  4 Sn 2.57-2.61, 2 Zn 2.58
16 Rh 0.0000 0.0000 0.5000  2 Zn 2.53, 4 Sn 2.62
17 Rh 0.3376 0.3376 0.1757  6 Sn 2.59-2.66
18 Rh 0.3069 0.3069 0.6949  1 Zn 2.55, 5 Sn 2.59-2.68

Computed properties:
ΔH_f (0 K): -0.24 eV per atom
DOS(E_F): 0.54 states/eV per atom
Space group: C2/m (12)
ρ: 7.5 g/cm³
Final energy: -5.05 eV/atom

***

The following is a DFT calculation (PBE) of crystalline PmMnAs2 at its relaxed geometry.

Cell: 3.8935 3.8935 10.7079 Å, 100.48 100.48 89.99°
Last column: nearest neighbours and their distance in Å.
Sites, in units of the cell vectors:
1 Pm 0.1153 0.1153 0.2306  8 As 3.04-3.08, 4 Mn 3.40
2 Pm 0.8847 0.8847 0.7694  8 As 3.04-3.08, 4 Mn 3.40
3 Mn 0.2502 0.7502 0.5000  4 As 2.45
4 Mn 0.7502 0.2502 0.5000  4 As 2.45
5 As 0.3223 0.3223 0.6443  4 Mn 2.45
6 As 0.6780 0.6780 0.3557  4 Mn 2.45
7 As 0.9990 0.4997 0.0000  4 As 2.75-2.76, 2 Pm 3.08
8 As 0.4997 0.9990 0.0000  4 As 2.75-2.76, 2 Pm 3.08

Computed properties:
ΔH_f (0 K): -0.79 eV per atom
DOS(E_F): 0.41 states/eV per atom
Space group: I4/mmm (139)
Energy relative to the lowest polymorph listed for this composition: 0.00 eV/f.u.
ρ: 7.4 g/cm³
Final energy: -6.60 eV/atom

***

The following is a DFT calculation (PBE) of crystalline CuTeO5 at its relaxed geometry.

Cell: 5.7432 8.3230 9.9236 Å, 90.00 90.00 90.00°
Last column: nearest neighbours and their distance in Å.
Sites, in units of the cell vectors:
1 Cu 0.2921 0.4913 0.1130  4 O 1.83-1.93
2 Cu 0.7079 0.9913 0.3870  4 O 1.83-1.93
3 Cu 0.7921 0.0087 0.8870  4 O 1.83-1.93
4 Cu 0.2079 0.5087 0.6130  4 O 1.83-1.93
5 Te 0.5154 0.6841 0.8428  3 O 1.92
6 Te 0.4846 0.1841 0.6572  3 O 1.92
7 Te 0.0154 0.8159 0.1572  3 O 1.92
8 Te 0.9846 0.3159 0.3428  3 O 1.92
9 O 0.0698 0.1091 0.9568  1 O 1.27
10 O 0.9302 0.6091 0.5432  1 O 1.27
11 O 0.5698 0.3909 0.0432  1 O 1.27
12 O 0.4302 0.8909 0.4568  1 O 1.27
13 O 0.8434 0.8252 0.9915  1 Cu 1.87, 1 Te 1.92
14 O 0.1566 0.3252 0.5085  1 Cu 1.87, 1 Te 1.92
15 O 0.3434 0.6748 0.0085  1 Cu 1.87, 1 Te 1.92
16 O 0.6566 0.1748 0.4915  1 Cu 1.87, 1 Te 1.92
17 O 0.0157 0.5866 0.1769  1 Cu 1.88, 1 Te 1.92
18 O 0.9843 0.0866 0.3231  1 Cu 1.88, 1 Te 1.92
19 O 0.5157 0.9134 0.8231  1 Cu 1.88, 1 Te 1.92
20 O 0.4843 0.4134 0.6769  1 Cu 1.88, 1 Te 1.92
21 O 0.6438 0.2627 0.0977  1 O 1.27
22 O 0.3562 0.7627 0.4023  1 O 1.27
23 O 0.1438 0.2373 0.9023  1 O 1.27
24 O 0.8562 0.7373 0.5977  1 O 1.27
25 O 0.2452 0.6787 0.7288  1 Cu 1.83, 1 Te 1.92
26 O 0.7548 0.1787 0.7712  1 Cu 1.83, 1 Te 1.92
27 O 0.7452 0.8213 0.2712  1 Cu 1.83, 1 Te 1.92
28 O 0.2548 0.3213 0.2288  1 Cu 1.83, 1 Te 1.92

Computed properties:
Space group: P2_12_12_1 (19)
Energy relative to the lowest polymorph listed for this composition: 0.00 eV/f.u.
ρ: 3.8 g/cm³
Final energy: -5.12 eV/atom
E_form (uncorrected): -0.542 eV/atom

***

The following is a DFT calculation (PBE) of crystalline Pa2SiIr6 at its relaxed geometry.

Cell: 5.5357 5.5126 6.1010 Å, 78.23 90.00 120.14°
Last column: nearest neighbours and their distance in Å.
Sites, in units of the cell vectors:
1 Pa 0.6410 0.2820 0.1555  8 Ir 2.88-3.13
2 Pa 0.3590 0.7180 0.8445  8 Ir 2.88-3.13
3 Si 0.0000 0.0000 0.0000  6 Ir 2.43-2.45
4 Ir 0.8798 0.2719 0.6950  1 Si 2.45, 2 Ir 2.70-2.71
5 Ir 0.8841 0.7682 0.6853  1 Si 2.43, 2 Ir 2.71
6 Ir 0.3921 0.2719 0.6950  1 Si 2.45, 2 Ir 2.70-2.71
7 Ir 0.1202 0.7281 0.3050  1 Si 2.45, 2 Ir 2.70-2.71
8 Ir 0.1159 0.2318 0.3147  1 Si 2.43, 2 Ir 2.71
9 Ir 0.6079 0.7281 0.3050  1 Si 2.45, 2 Ir 2.70-2.71

Computed properties:
DOS(E_F): 0.59 states/eV per atom
Space group: C2/m (12)
ρ: 17.4 g/cm³
Final energy: -9.40 eV/atom
E_form (uncorrected): -0.777 eV/atom

***

The following is a DFT calculation (PBE) of crystalline SmNpTe2 at its relaxed geometry.

Cell: 5.4068 5.4068 5.4068 Å, 60.00 60.00 60.00°
Last column: nearest neighbours and their distance in Å.
Sites, in units of the cell vectors:
1 Np 0.0000 0.0000 0.0000  8 Te 3.31
2 Te 0.2500 0.2500 0.2500  4 Sm 3.31, 4 Np 3.31
3 Te 0.7500 0.7500 0.7500  4 Np 3.31, 4 Sm 3.31
4 Sm 0.5000 0.5000 0.5000  8 Te 3.31

Computed properties:
DOS(E_F): 3.64 states/eV per atom
Space group: Fm-3m (225)
Energy relative to the lowest polymorph listed for this composition: 0.17 eV/f.u.
ρ: 9.5 g/cm³
Final energy: -6.83 eV/atom
E_form (uncorrected): -0.846 eV/atom

***

The following is a DFT calculation (PBE) of crystalline Sc2TaRh at its relaxed geometry.

Cell: 4.5232 3.0577 5.6467 Å, 75.77 90.00 90.00°
Last column: nearest neighbours and their distance in Å.
Sites, in units of the cell vectors:
1 Rh 0.5000 0.7248 0.7400  2 Ta 2.68, 4 Sc 2.74-2.98
2 Sc 0.0000 0.9549 0.9764  2 Rh 2.80, 3 Ta 2.82-3.09, 4 Sc 3.05-3.06
3 Sc 0.5000 0.2394 0.2674  2 Rh 2.74-2.98, 2 Ta 2.98, 4 Sc 3.05-3.06
4 Ta 0.0000 0.5809 0.5161  2 Rh 2.68, 4 Sc 2.82-2.98

Computed properties:
ΔH_f (0 K): -0.22 eV per atom
DOS(E_F): 0.93 states/eV per atom
Space group: Pm (6)
Energy relative to the lowest polymorph listed for this composition: 0.58 eV/f.u.
ρ: 8.2 g/cm³
Final energy: -8.19 eV/atom

***

The following is a DFT calculation (PBE) of crystalline AcTbSmTl at its relaxed geometry.

Cell: 5.6612 5.6612 5.6612 Å, 60.00 60.00 60.00°
Last column: nearest neighbours and their distance in Å.
Sites, in units of the cell vectors:
1 Ac 0.5000 0.5000 0.5000  4 Sm 3.47, 4 Tb 3.47
2 Tb 0.7500 0.7500 0.7500  4 Ac 3.47, 4 Tl 3.47
3 Tl 0.0000 0.0000 0.0000  4 Tb 3.47, 4 Sm 3.47
4 Sm 0.2500 0.2500 0.2500  4 Tl 3.47, 4 Ac 3.47

Computed properties:
ΔH_f (0 K): 0.02 eV per atom
DOS(E_F): 1.98 states/eV per atom
Space group: F-43m (216)
ρ: 9.6 g/cm³
Final energy: -3.93 eV/atom

***

The following is a DFT calculation (PBE) of crystalline Sc2TcHPt at its relaxed geometry.

Cell: 4.5711 4.5711 3.4488 Å, 90.00 90.00 90.00°
Last column: nearest neighbours and their distance in Å.
Sites, in units of the cell vectors:
1 Sc 0.0000 0.5000 0.0000  2 H 2.29
2 Sc 0.5000 0.0000 0.0000  2 H 2.29
3 H 0.0000 0.0000 0.0000  2 Tc 1.72
4 Tc 0.0000 0.0000 0.5000  2 H 1.72
5 Pt 0.5000 0.5000 0.5000  8 Sc 2.86

Computed properties:
DOS(E_F): 0.41 states/eV per atom
Space group: P4/mmm (123)
Energy relative to the lowest polymorph listed for this composition: 0.00 eV/f.u.
ρ: 8.8 g/cm³
Final energy: -7.20 eV/atom

***

The following is a DFT calculation (PBE) of crystalline CePaIn4 at its relaxed geometry.

Cell: 6.0232 6.0232 6.0232 Å, 60.00 60.00 60.00°
Last column: nearest neighbours and their distance in Å.
Sites, in units of the cell vectors:
1 Pa 0.0000 0.0000 0.0000  12 In 3.53, 4 Ce 3.69
2 Ce 0.2500 0.2500 0.2500  12 In 3.53, 4 Pa 3.69
3 In 0.6251 0.6251 0.1247  6 In 3.01
4 In 0.6251 0.1247 0.6251  6 In 3.01
5 In 0.6251 0.6251 0.6251  6 In 3.01
6 In 0.1247 0.6251 0.6251  6 In 3.01

Computed properties:
ΔH_f (0 K): -0.12 eV per atom
DOS(E_F): 2.14 states/eV per atom
Space group: F-43m (216)
ρ: 8.9 g/cm³
Final energy: -4.52 eV/atom

***

The following is a DFT calculation (PBE) of crystalline Ca2TaOs at its relaxed geometry.

Cell: 5.8991 5.8991 5.8991 Å, 140.65 140.65 56.87°
Last column: nearest neighbours and their distance in Å.
Sites, in units of the cell vectors:
1 Ca 0.0000 0.0000 0.0000  4 Ca 2.81
2 Ca 0.5000 0.5000 0.0000  4 Ca 2.81
3 Os 0.2500 0.7500 0.5000  4 Ta 2.81
4 Ta 0.7500 0.2500 0.5000  4 Os 2.81

Computed properties:
ΔH_f (0 K): 0.56 eV per atom
DOS(E_F): 0.63 states/eV per atom
Space group: I4/mmm (139)
Energy relative to the lowest polymorph listed for this composition: 1.65 eV/f.u.
ρ: 9.2 g/cm³
Final energy: -6.22 eV/atom

***

The following is a DFT calculation (PBE) of crystalline InNi2Rh at its relaxed geometry.

Cell: 4.3139 4.3139 4.3139 Å, 60.00 60.00 60.00°
Last column: nearest neighbours and their distance in Å.
Sites, in units of the cell vectors:
1 In 0.5000 0.5000 0.5000  4 Rh 2.64, 4 Ni 2.64
2 Ni 0.0000 0.0000 0.0000  4 Ni 2.64, 4 Rh 2.64
3 Ni 0.2500 0.2500 0.2500  4 In 2.64, 4 Ni 2.64
4 Rh 0.7500 0.7500 0.7500  4 In 2.64, 4 Ni 2.64

Computed properties:
ΔH_f (0 K): -0.04 eV per atom
DOS(E_F): 1.53 states/eV per atom
Space group: F-43m (216)
ρ: 9.8 g/cm³
Final energy: -5.45 eV/atom